Record 1
PBE CaS2ICl, relaxed; E = -2.9473 eV per atom; raw formation energy = -217 meV per atom; total magnetic moment = 3.88 μB per formula unit; calculated density = 2651 kg/m³; crystal system = tetragonal
1.0
5.6857 0.0000 0.0000
0.0000 5.6857 0.0000
0.0000 0.0000 5.1658
S Cl I Ca
2 1 1 1
direct
0.5000 0.0000 0.0000
0.0000 0.5000 0.0000
0.0000 0.0000 0.5000
0.5000 0.5000 0.5000
0.0000 0.0000 0.0000


Record 2
PBE CaS2ICl, relaxed; E = -2.9334 eV per atom; raw formation energy = -203 meV per atom; total magnetic moment = 0.00 μB per formula unit; calculated density = 2987 kg/m³; crystal system = tetragonal
1.0
5.1290 0.0000 0.0000
0.0000 5.1290 0.0000
0.0000 0.0000 5.6330
Ca S Cl I
1 2 1 1
direct
0.5000 0.5000 0.5000
0.5000 0.0000 0.0000
0.0000 0.5000 0.0000
0.0000 0.0000 0.5000
0.0000 0.0000 0.0000


Record 3
PBE CaTeI2Cl, relaxed; E = -2.2105 eV per atom; raw formation energy = -192 meV per atom; total magnetic moment = 0.00 μB per formula unit; calculated density = 4185 kg/m³; crystal system = tetragonal
1.0
-2.6372 0.9025 4.7338
1.8837 -4.7739 1.9596
4.8512 2.8042 2.1680
I Ca Cl Te
2 1 1 1
direct
0.5000 0.0000 0.0000
0.0000 0.5000 0.0000
0.5000 0.5000 0.5000
0.0000 0.0000 0.0000
0.0000 0.0000 0.5000


Record 4
PBE CaTeI2Cl, relaxed; E = -2.3379 eV per atom; raw formation energy = -320 meV per atom; total magnetic moment = 1.85 μB per formula unit; calculated density = 3323 kg/m³; crystal system = tetragonal
1.0
5.9451 0.0000 0.0000
0.0000 5.9451 0.0000
0.0000 0.0000 6.4608
Cl Te I Ca
1 1 2 1
direct
0.5000 0.5000 0.5000
0.0000 0.0000 0.5000
0.0000 0.5000 0.0000
0.5000 0.0000 0.0000
0.0000 0.0000 0.0000